[1]
Computed, not measured: a relaxed CoC2 crystal at the PBE level of DFT.

Values from the calculation:
M_tot = 0.1750 μB/atom
density of states at the Fermi level = 0.7614 states/eV per atom
energy relative to the elements = 1.03 eV/atom
theoretical density = 6.06 g cm⁻³
symmetry = No. 63
uncorrected energy = -44.9 eV for the cell shown
E above lowest polymorph = 544 meV per atom

Cell lengths 4.4967, 4.4967, 4.2465 Å; angles 90.00, 90.00, 148.06 degrees
With the nearest neighbours (Å) after each atom.
Fractional positions:
1 Co 0.1720 0.8280 0.7500  6 C 2.17
2 Co 0.8280 0.1720 0.2500  6 C 2.17
3 C 0.1219 0.8781 0.2500  2 C 1.45
4 C 0.4660 0.5340 0.7500  2 C 1.45
5 C 0.5340 0.4660 0.2500  2 C 1.45
6 C 0.8781 0.1219 0.7500  2 C 1.45

=====

[2]
Computed, not measured: a relaxed CoC2 crystal at the PBE level of DFT.

Values from the calculation:
M_tot = 0.4688 μB/atom
density of states at the Fermi level = 0.5380 states/eV per atom
energy relative to the elements = 0.54 eV/atom
theoretical density = 5.56 g cm⁻³
symmetry = No. 166
uncorrected energy = -23.9 eV for the cell shown
E above lowest polymorph = 48 meV per atom

Cell lengths 4.8076, 4.8076, 4.8076 Å; angles 30.11, 30.11, 30.11 degrees
With the nearest neighbours (Å) after each atom.
Fractional positions:
1 Co 0.0000 0.0000 0.0000  2 C 2.20
2 C 0.1600 0.1600 0.1600  3 C 1.45
3 C 0.8400 0.8400 0.8400  3 C 1.45

=====

[3]
Computed, not measured: a relaxed Co5C4 crystal at the PBE level of DFT.

Values from the calculation:
M_tot = 0.0001 μB/atom
density of states at the Fermi level = 0.7998 states/eV per atom
energy relative to the elements = 0.58 eV/atom
theoretical density = 7.72 g cm⁻³
symmetry = No. 193
uncorrected energy = -134.4 eV for the cell shown
E above lowest polymorph = 0 meV per atom

Cell lengths 5.5286, 5.5286, 5.5698 Å; angles 90.00, 90.00, 120.00 degrees
With the nearest neighbours (Å) after each atom.
Fractional positions:
1 Co 0.0000 0.2489 0.2500  5 C 1.85-2.01
2 Co 0.0000 0.7511 0.7500  5 C 1.85-2.01
3 Co 0.2489 0.0000 0.2500  5 C 1.85-2.01
4 Co 0.2489 0.2489 0.7500  5 C 1.85-2.01
5 Co 0.3333 0.6667 0.0000  6 C 2.17
6 Co 0.3333 0.6667 0.5000  6 C 2.17
7 Co 0.6667 0.3333 0.0000  6 C 2.17
8 Co 0.6667 0.3333 0.5000  6 C 2.17
9 Co 0.7511 0.0000 0.7500  5 C 1.85-2.01
10 Co 0.7511 0.7511 0.2500  5 C 1.85-2.01
11 C 0.0000 0.0000 0.0000  6 Co 1.96
12 C 0.0000 0.0000 0.5000  6 Co 1.96
13 C 0.0000 0.4169 0.7500  3 Co 1.85-2.01
14 C 0.0000 0.5831 0.2500  3 Co 1.85-2.01
15 C 0.4169 0.0000 0.7500  3 Co 1.85-2.01
16 C 0.4169 0.4169 0.2500  3 Co 1.85-2.01
17 C 0.5831 0.0000 0.2500  3 Co 1.85-2.01
18 C 0.5831 0.5831 0.7500  3 Co 1.85-2.01

=====

[4]
Computed, not measured: a relaxed CoC2 crystal at the PBE level of DFT.

Values from the calculation:
M_tot = 0.0001 μB/atom
density of states at the Fermi level = 0.5240 states/eV per atom
energy relative to the elements = 1.52 eV/atom
theoretical density = 6.56 g cm⁻³
symmetry = No. 123
uncorrected energy = -21.0 eV for the cell shown
E above lowest polymorph = 1027 meV per atom

Cell lengths 2.5069, 2.5069, 3.3387 Å; angles 90.00, 90.00, 90.00 degrees
With the nearest neighbours (Å) after each atom.
Fractional positions:
1 Co 0.0000 0.0000 0.0000  8 C 2.09
2 C 0.0000 0.5000 0.5000  4 C 1.77
3 C 0.5000 0.0000 0.5000  4 C 1.77

=====

[5]
Computed, not measured: a relaxed CoC crystal at the PBE level of DFT.

Values from the calculation:
M_tot = 0.0004 μB/atom
density of states at the Fermi level = 0.7218 states/eV per atom
energy relative to the elements = 0.99 eV/atom
theoretical density = 5.97 g cm⁻³
symmetry = No. 10
uncorrected energy = -14.4 eV for the cell shown

Cell lengths 2.3933, 2.9138, 2.8303 Å; angles 90.00, 90.52, 90.00 degrees
With the nearest neighbours (Å) after each atom.
Fractional positions:
1 Co 0.0000 0.0000 0.0000  4 C 1.89
2 C 0.5000 0.5000 0.0000  4 Co 1.89

=====

[6]
Computed, not measured: a relaxed CoC crystal at the PBE level of DFT.

Values from the calculation:
M_tot = 0.8555 μB/atom
density of states at the Fermi level = 0.3100 states/eV per atom
energy relative to the elements = 0.33 eV/atom
theoretical density = 4.18 g cm⁻³
symmetry = No. 166
uncorrected energy = -31.3 eV for the cell shown

Cell lengths 10.8559, 10.8559, 10.8559 Å; angles 13.00, 13.00, 13.00 degrees
With the nearest neighbours (Å) after each atom.
Fractional positions:
1 Co 0.1367 0.1367 0.1367  9 Co 2.40-2.46
2 Co 0.8633 0.8633 0.8633  9 Co 2.40-2.46
3 C 0.3333 0.3333 0.3333  3 C 1.42
4 C 0.6667 0.6667 0.6667  3 C 1.42

=====

[7]
Computed, not measured: a relaxed CoC crystal at the PBE level of DFT.

Values from the calculation:
M_tot = 0.0000 μB/atom
density of states at the Fermi level = 0.7053 states/eV per atom
energy relative to the elements = 0.66 eV/atom
theoretical density = 5.33 g cm⁻³
symmetry = No. 87
uncorrected energy = -60.0 eV for the cell shown

Cell lengths 5.3384, 5.3384, 5.3384 Å; angles 96.05, 96.05, 142.10 degrees
With the nearest neighbours (Å) after each atom.
Fractional positions:
1 Co 0.1422 0.6771 0.8193  4 C 1.79-1.92
2 Co 0.3229 0.1422 0.4652  4 C 1.79-1.92
3 Co 0.6771 0.8578 0.5348  4 C 1.79-1.92
4 Co 0.8578 0.3229 0.1807  4 C 1.79-1.92
5 C 0.1030 0.2702 0.3733  4 Co 1.79-1.92
6 C 0.2702 0.8970 0.1672  4 Co 1.79-1.92
7 C 0.7298 0.1030 0.8328  4 Co 1.79-1.92
8 C 0.8970 0.7298 0.6267  4 Co 1.79-1.92

=====

[8]
Computed, not measured: a relaxed Co2C crystal at the PBE level of DFT.

Values from the calculation:
M_tot = 0.2090 μB/atom
density of states at the Fermi level = 1.1876 states/eV per atom
energy relative to the elements = 0.30 eV/atom
theoretical density = 8.06 g cm⁻³
symmetry = No. 225
uncorrected energy = -22.5 eV for the cell shown
E above lowest polymorph = 192 meV per atom

Cell lengths 3.3568, 3.3568, 3.3568 Å; angles 60.00, 60.00, 60.00 degrees
With the nearest neighbours (Å) after each atom.
Fractional positions:
1 Co 0.2500 0.2500 0.2500  4 C 2.06
2 Co 0.7500 0.7500 0.7500  4 C 2.06
3 C 0.0000 0.0000 0.0000  8 Co 2.06

=====

[9]
Computed, not measured: a relaxed CoC crystal at the PBE level of DFT.

Values from the calculation:
M_tot = 0.0000 μB/atom
density of states at the Fermi level = 0.6061 states/eV per atom
energy relative to the elements = 0.72 eV/atom
theoretical density = 5.69 g cm⁻³
symmetry = No. 38
uncorrected energy = -44.7 eV for the cell shown

Cell lengths 2.8861, 5.0201, 5.0201 Å; angles 121.39, 90.00, 90.00 degrees
With the nearest neighbours (Å) after each atom.
Fractional positions:
1 Co 0.0000 0.0000 0.0000  4 C 1.86-1.89
2 Co 0.5000 0.9998 0.5804  3 C 1.84-1.86
3 Co 0.5000 0.5804 0.9998  3 C 1.84-1.86
4 C 0.0000 0.3110 0.8963  3 Co 1.86-1.89
5 C 0.0000 0.8963 0.3110  3 Co 1.86-1.89
6 C 0.5000 0.7623 0.7623  4 Co 1.84-1.86

=====

[10]
Computed, not measured: a relaxed CoC crystal at the PBE level of DFT.

Values from the calculation:
M_tot = 0.0000 μB/atom
density of states at the Fermi level = 0.7088 states/eV per atom
energy relative to the elements = 0.59 eV/atom
theoretical density = 6.93 g cm⁻³
symmetry = No. 8
uncorrected energy = -45.5 eV for the cell shown

Cell lengths 4.2876, 4.2876, 5.4107 Å; angles 123.57, 123.57, 39.29 degrees
With the nearest neighbours (Å) after each atom.
Fractional positions:
1 Co 0.0000 0.0000 0.0000  3 C 1.86-2.06
2 Co 0.6169 0.6169 0.7452  5 C 1.93-2.13
3 Co 0.8567 0.8567 0.3051  3 C 1.84-1.89
4 C 0.1384 0.1384 0.4752  1 C 1.39
5 C 0.2470 0.2470 0.0440  5 Co 1.84-1.95
6 C 0.3514 0.3514 0.6671  1 C 1.39

=====

[11]
Computed, not measured: a relaxed CoC crystal at the PBE level of DFT.

Values from the calculation:
M_tot = 0.0000 μB/atom
density of states at the Fermi level = 0.3996 states/eV per atom
energy relative to the elements = 0.58 eV/atom
theoretical density = 7.12 g cm⁻³
symmetry = No. 119
uncorrected energy = -30.3 eV for the cell shown

Cell lengths 4.5552, 4.5552, 4.5552 Å; angles 143.59, 143.59, 52.44 degrees
With the nearest neighbours (Å) after each atom.
Fractional positions:
1 Co 0.0000 0.0000 0.0000  8 C 2.14
2 Co 0.7500 0.2500 0.5000  4 C 1.93
3 C 0.4096 0.4096 0.0000  1 C 1.48
4 C 0.5904 0.5904 0.0000  1 C 1.48

=====

[12]
Computed, not measured: a relaxed CoC2 crystal at the PBE level of DFT.

Values from the calculation:
M_tot = 0.0000 μB/atom
density of states at the Fermi level = 0.2716 states/eV per atom
energy relative to the elements = 1.65 eV/atom
theoretical density = 4.94 g cm⁻³
symmetry = No. 136
uncorrected energy = -41.2 eV for the cell shown
E above lowest polymorph = 1162 meV per atom

Cell lengths 4.5397, 4.5397, 2.7069 Å; angles 90.00, 90.00, 90.00 degrees
With the nearest neighbours (Å) after each atom.
Fractional positions:
1 Co 0.0000 0.0000 0.0000  6 C 1.88-1.90
2 Co 0.5000 0.5000 0.5000  6 C 1.88-1.90
3 C 0.2074 0.2074 0.5000  3 Co 1.88-1.90
4 C 0.2926 0.7074 0.0000  3 Co 1.88-1.90
5 C 0.7074 0.2926 0.0000  3 Co 1.88-1.90
6 C 0.7926 0.7926 0.5000  3 Co 1.88-1.90

=====

[13]
Computed, not measured: a relaxed Co3C crystal at the PBE level of DFT.

Values from the calculation:
M_tot = 0.9568 μB/atom
density of states at the Fermi level = 1.2569 states/eV per atom
energy relative to the elements = 0.89 eV/atom
theoretical density = 8.34 g cm⁻³
symmetry = No. 139
uncorrected energy = -27.0 eV for the cell shown

Cell lengths 4.1882, 4.1882, 4.1882 Å; angles 133.83, 133.83, 67.36 degrees
With the nearest neighbours (Å) after each atom.
Fractional positions:
1 Co 0.0000 0.0000 0.0000  4 C 2.32, 8 Co 2.39
2 Co 0.2500 0.7500 0.5000  8 Co 2.32-2.39, 4 C 2.39
3 Co 0.7500 0.2500 0.5000  8 Co 2.32-2.39, 4 C 2.39
4 C 0.5000 0.5000 0.0000  12 Co 2.32-2.39

=====

[14]
Computed, not measured: a relaxed Co2C crystal at the PBE level of DFT.

Values from the calculation:
M_tot = 0.0000 μB/atom
density of states at the Fermi level = 0.9243 states/eV per atom
energy relative to the elements = 0.30 eV/atom
theoretical density = 7.75 g cm⁻³
symmetry = No. 36
uncorrected energy = -45.0 eV for the cell shown
E above lowest polymorph = 197 meV per atom

Cell lengths 4.2177, 4.2177, 5.0206 Å; angles 90.00, 90.00, 141.44 degrees
With the nearest neighbours (Å) after each atom.
Fractional positions:
1 Co 0.0040 0.9960 0.5000  2 C 1.84
2 Co 0.2697 0.7303 0.7517  3 C 1.88-1.93
3 Co 0.7303 0.2697 0.2517  3 C 1.88-1.93
4 Co 0.9960 0.0040 0.0000  2 C 1.84
5 C 0.3603 0.6397 0.1082  5 Co 1.84-1.93
6 C 0.6397 0.3603 0.6082  5 Co 1.84-1.93

=====

[15]
Computed, not measured: a relaxed Co3C5 crystal at the PBE level of DFT.

Values from the calculation:
M_tot = 0.3193 μB/atom
density of states at the Fermi level = 0.8202 states/eV per atom
energy relative to the elements = 0.95 eV/atom
theoretical density = 5.54 g cm⁻³
symmetry = No. 123
uncorrected energy = -59.8 eV for the cell shown
E above lowest polymorph = 39 meV per atom

Cell lengths 2.7714, 2.7714, 9.2443 Å; angles 90.00, 90.00, 90.00 degrees
With the nearest neighbours (Å) after each atom.
Fractional positions:
1 Co 0.0000 0.0000 0.0000  8 C 2.08
2 Co 0.5000 0.5000 0.2793  5 C 1.89-2.09
3 Co 0.5000 0.5000 0.7207  5 C 1.89-2.09
4 C 0.0000 0.0000 0.3563  1 C 1.33
5 C 0.0000 0.0000 0.5000  2 C 1.33
6 C 0.0000 0.0000 0.6437  1 C 1.33
7 C 0.5000 0.5000 0.0750  1 C 1.39
8 C 0.5000 0.5000 0.9250  1 C 1.39

=====

[16]
Computed, not measured: a relaxed Co2C crystal at the PBE level of DFT.

Values from the calculation:
M_tot = 0.0006 μB/atom
density of states at the Fermi level = 1.0106 states/eV per atom
energy relative to the elements = 0.11 eV/atom
theoretical density = 7.86 g cm⁻³
symmetry = No. 58
uncorrected energy = -46.2 eV for the cell shown
E above lowest polymorph = 0 meV per atom

Cell lengths 4.3627, 4.3711, 2.8763 Å; angles 90.00, 90.00, 90.00 degrees
With the nearest neighbours (Å) after each atom.
Fractional positions:
1 Co 0.1485 0.2424 0.0000  3 C 1.90
2 Co 0.3515 0.7424 0.5000  3 C 1.90
3 Co 0.6485 0.2576 0.5000  3 C 1.90
4 Co 0.8515 0.7576 0.0000  3 C 1.90
5 C 0.0000 0.0000 0.5000  6 Co 1.90
6 C 0.5000 0.5000 0.0000  6 Co 1.90

=====

[17]
Computed, not measured: a relaxed CoC crystal at the PBE level of DFT.

Values from the calculation:
M_tot = 0.0009 μB/atom
density of states at the Fermi level = 0.6160 states/eV per atom
energy relative to the elements = 0.64 eV/atom
theoretical density = 6.79 g cm⁻³
symmetry = No. 6
uncorrected energy = -30.1 eV for the cell shown

Cell lengths 3.3478, 2.7428, 3.8945 Å; angles 90.00, 104.14, 90.00 degrees
With the nearest neighbours (Å) after each atom.
Fractional positions:
1 Co 0.0000 0.0000 0.0000  4 C 1.98-2.04
2 Co 0.3468 0.5000 0.5633  3 C 1.83-2.02
3 C 0.4388 0.5000 0.0553  1 C 1.39
4 C 0.8094 0.5000 0.3122  1 C 1.39

=====

[18]
Computed, not measured: a relaxed Co4C crystal at the PBE level of DFT.

Values from the calculation:
M_tot = 0.7822 μB/atom
density of states at the Fermi level = 0.7125 states/eV per atom
energy relative to the elements = 0.40 eV/atom
theoretical density = 7.76 g cm⁻³
symmetry = No. 164
uncorrected energy = -35.7 eV for the cell shown
E above lowest polymorph = 176 meV per atom

Cell lengths 2.6380, 2.6380, 8.7964 Å; angles 90.00, 90.00, 120.00 degrees
With the nearest neighbours (Å) after each atom.
Fractional positions:
1 Co 0.3333 0.6667 0.1065  10 Co 2.36-2.64
2 Co 0.3333 0.6667 0.3742  3 C 1.88
3 Co 0.6667 0.3333 0.6258  3 C 1.88
4 Co 0.6667 0.3333 0.8935  10 Co 2.36-2.64
5 C 0.0000 0.0000 0.5000  6 Co 1.88

=====

[19]
Computed, not measured: a relaxed CoC5 crystal at the PBE level of DFT.

Values from the calculation:
M_tot = 0.0000 μB/atom
density of states at the Fermi level = 0.3928 states/eV per atom
energy relative to the elements = 2.37 eV/atom
theoretical density = 2.78 g cm⁻³
symmetry = No. 191
uncorrected energy = -39.0 eV for the cell shown
E above lowest polymorph = 1760 meV per atom

Cell lengths 3.1948, 3.1948, 8.0282 Å; angles 90.00, 90.00, 120.00 degrees
With the nearest neighbours (Å) after each atom.
Fractional positions:
1 Co 0.0000 0.0000 0.0000  6 C 1.84
2 C 0.0000 0.5000 0.5000  4 C 1.60
3 C 0.3333 0.6667 0.0000  3 Co 1.84, 3 C 1.84
4 C 0.5000 0.0000 0.5000  4 C 1.60
5 C 0.5000 0.5000 0.5000  4 C 1.60
6 C 0.6667 0.3333 0.0000  3 Co 1.84, 3 C 1.84

=====

[20]
Computed, not measured: a relaxed CoC crystal at the PBE level of DFT.

Values from the calculation:
M_tot = 0.0000 μB/atom
density of states at the Fermi level = 0.3490 states/eV per atom
energy relative to the elements = 0.79 eV/atom
theoretical density = 7.40 g cm⁻³
symmetry = No. 198
uncorrected energy = -59.0 eV for the cell shown

Cell lengths 3.9936, 3.9936, 3.9936 Å; angles 90.00, 90.00, 90.00 degrees
With the nearest neighbours (Å) after each atom.
Fractional positions:
1 Co 0.0360 0.0360 0.0360  6 C 1.97-2.06
2 Co 0.4640 0.9640 0.5360  6 C 1.97-2.06
3 Co 0.5360 0.4640 0.9640  6 C 1.97-2.06
4 Co 0.9640 0.5360 0.4640  6 C 1.97-2.06
5 C 0.0244 0.5244 0.9756  6 Co 1.97-2.06
6 C 0.4756 0.4756 0.4756  6 Co 1.97-2.06
7 C 0.5244 0.9756 0.0244  6 Co 1.97-2.06
8 C 0.9756 0.0244 0.5244  6 Co 1.97-2.06